A geometry-optimized GdB4Os structure, computed with PBE-GGA.

Cell: 6.0001 11.6060 3.5839 Å, 90.00 90.00 90.00°
Atoms (fractional coordinates):
Gd: 0.1280 0.1500 0.0000
Gd: 0.3720 0.6500 0.0000
Gd: 0.6280 0.3500 0.0000
Gd: 0.8720 0.8500 0.0000
B: 0.0252 0.6908 0.5000
B: 0.1120 0.5463 0.5000
B: 0.1371 0.9696 0.5000
B: 0.2126 0.8145 0.5000
B: 0.2874 0.3145 0.5000
B: 0.3629 0.4696 0.5000
B: 0.3880 0.0463 0.5000
B: 0.4748 0.1908 0.5000
B: 0.5252 0.8092 0.5000
B: 0.6120 0.9537 0.5000
B: 0.6371 0.5304 0.5000
B: 0.7126 0.6855 0.5000
B: 0.7874 0.1855 0.5000
B: 0.8629 0.0304 0.5000
B: 0.8880 0.4537 0.5000
B: 0.9748 0.3092 0.5000
Os: 0.1404 0.4070 0.0000
Os: 0.3596 0.9070 0.0000
Os: 0.6404 0.0930 0.0000
Os: 0.8596 0.5930 0.0000

Computed properties:
space-group type = Pbam (55)
E = -0.3392 hartree per atom
formation energy = -3.4 eV/f.u.

---

A geometry-optimized GdBOs structure, computed with PBE-GGA.

Cell: 3.6786 3.6786 4.3275 Å, 90.00 90.00 120.00°
Atoms (fractional coordinates):
Gd: 0.0000 0.0000 0.0000
B: 0.3333 0.6667 0.5000
Os: 0.6667 0.3333 0.5000

Computed properties:
space-group type = P-6m2 (187)
E = -0.4048 hartree per atom
formation energy = -1.1 eV/f.u.